[1]
The following is a PBE calculation of crystalline K2AcF4 at its relaxed geometry, from the Alexandria database.

Computed properties:
Crystal system = tetragonal
Raw formation energy = -3.02 eV/atom

Unit cell a=4.9451 b=4.9451 c=15.5079 alpha=90.00 beta=90.00 gamma=90.00
With the nearest neighbours (Å) after each atom.
Space group I4/mmm (No. 139)
Symmetry-distinct sites (fractional):
K: 0.0000 0.0000 0.1792 [4 per cell]  1 F 2.58
Ac: 0.0000 0.0000 0.5000 [2 per cell]  6 F 2.39-2.47
F: 0.0000 0.0000 0.3458 [4 per cell]  1 Ac 2.39, 1 K 2.58
F: 0.0000 0.5000 0.0000 [4 per cell]  2 Ac 2.47

---

[2]
The following is a PBE calculation of crystalline Y2SbMo at its relaxed geometry, from the Alexandria database.

Computed properties:
Crystal system = orthorhombic
Raw formation energy = -0.23 eV/atom

Unit cell a=4.5159 b=3.9957 c=11.1693 alpha=90.00 beta=90.00 gamma=90.00
With the nearest neighbours (Å) after each atom.
Space group Amm2 (No. 38)
Symmetry-distinct sites (fractional):
Y: 0.0000 0.0000 0.0000 [2 per cell]  4 Mo 3.11, 3 Sb 3.11-3.20
Y: 0.5000 0.0000 0.2910 [2 per cell]  3 Mo 3.08-3.20, 4 Sb 3.14
Sb: 0.0000 0.0000 0.7139 [2 per cell]  2 Mo 2.79, 2 Y 3.11
Mo: 0.5000 0.0000 0.5667 [2 per cell]  2 Sb 2.79, 5 Y 3.08-3.11

---

[3]
The following is a PBE calculation of crystalline NpGa4Rh2 at its relaxed geometry, from the Alexandria database.

Computed properties:
E_form = -41 kJ/mol of atoms
Crystal system = tetragonal
Energy above the lowest structure with this stoichiometry = 24 meV/atom

Unit cell a=7.2987 b=7.2987 c=4.5552 alpha=90.00 beta=90.00 gamma=90.00
With the nearest neighbours (Å) after each atom.
Space group P4_2/mnm (No. 136)
Symmetry-distinct sites (fractional):
Np: 0.0000 0.0000 0.0000 [2 per cell]  2 Rh 2.64
Ga: 0.0879 0.3363 0.5000 [8 per cell]  3 Rh 2.51-2.65, 2 Ga 2.56-2.71
Rh: 0.2438 0.7562 0.5000 [4 per cell]  6 Ga 2.51-2.65, 1 Np 2.64

---

Please write out number 1 again, unchanged.
The following is a PBE calculation of crystalline K2AcF4 at its relaxed geometry, from the Alexandria database.

Computed properties:
Crystal system = tetragonal
Raw formation energy = -3.02 eV/atom

Unit cell a=4.9451 b=4.9451 c=15.5079 alpha=90.00 beta=90.00 gamma=90.00
With the nearest neighbours (Å) after each atom.
Space group I4/mmm (No. 139)
Symmetry-distinct sites (fractional):
K: 0.0000 0.0000 0.1792 [4 per cell]  1 F 2.58
Ac: 0.0000 0.0000 0.5000 [2 per cell]  6 F 2.39-2.47
F: 0.0000 0.0000 0.3458 [4 per cell]  1 Ac 2.39, 1 K 2.58
F: 0.0000 0.5000 0.0000 [4 per cell]  2 Ac 2.47